Computed, not measured: BaBeHg2 after structural relaxation at the PBE level of DFT.

POSCAR file:
```
BaBeHg2
1.0
-2.333 3.041 4.135
2.333 -3.041 4.135
2.333 3.041 -4.135
Ba Be Hg
1 1 2
Direct
0.000 0.000 0.000
0.629 0.129 0.500
0.310 0.810 0.500
0.592 0.592 0.000
```

Summary:
Raw total energy, eV/f.u.: -6.16
E_form, eV/f.u.: 0.09
Total magnetization, μB/f.u.: 0.0